VASP calculation (PBE) on a relaxed La6Os2ICl3 crystal.

Summary:
E_form (uncorrected) (eV/atom): -1.069

The structure in CIF format:
```
data_La6Os2ICl3
_cell_length_a 18.923
_cell_length_b 4.262
_cell_length_c 9.179
_cell_angle_alpha 90.00
_cell_angle_beta 102.30
_cell_angle_gamma 90.00
_symmetry_space_group_name_H-M 'C 1 2/m 1'
_symmetry_Int_Tables_number 12
_symmetry_space_group_name_Hall '-C 2y'
loop_
_atom_site_label
_atom_site_type_symbol
_atom_site_fract_x
_atom_site_fract_y
_atom_site_fract_z
_atom_site_occupancy
La1 La 0.024 0.000 0.285 1
La2 La 0.176 0.500 0.564 1
La3 La 0.182 0.500 0.143 1
Os1 Os 0.169 0.000 0.340 1
I1 I 0.000 0.500 0.000 1
Cl1 Cl 0.000 0.500 0.500 1
Cl2 Cl 0.154 0.000 0.840 1
```